Entry 1:
A relaxed structure of Mn2Fe2Pd, computed with PBE.

Cell and atoms, written as POSCAR:
```
Mn2Fe2Pd
1.0
6.760 0.000 0.000
0.000 6.760 0.000
0.000 0.000 2.545
Fe Mn Pd
4 4 2
direct
0.626 0.126 0.000 Fe
0.874 0.626 0.000 Fe
0.126 0.374 0.000 Fe
0.374 0.874 0.000 Fe
0.334 0.166 0.500 Mn
0.166 0.666 0.500 Mn
0.834 0.334 0.500 Mn
0.666 0.834 0.500 Mn
0.500 0.500 0.000 Pd
0.000 0.000 0.000 Pd
```

Crystal system: tetragonal
Space group: P4/mbm, No. 127

Entry 2:
A relaxed structure of Mn2FePd, computed with PBE.

Cell and atoms, written as POSCAR:
```
Mn2FePd
1.0
0.000 2.913 2.913
2.913 0.000 2.913
2.913 2.913 0.000
Mn Fe Pd
2 1 1
direct
0.750 0.750 0.750 Mn
0.250 0.250 0.250 Mn
0.000 0.000 0.000 Fe
0.500 0.500 0.500 Pd
```

Crystal system: cubic
Space group: Fm-3m, No. 225

Entry 3:
A relaxed structure of MnFe6Pd12, computed with PBE.

Cell and atoms, written as POSCAR:
```
MnFe6Pd12
1.0
6.500 0.530 0.635
-0.461 6.506 0.635
-0.461 -0.537 6.515
Pd Fe Mn
12 6 1
direct
0.567 0.198 0.468 Pd
0.634 0.980 0.847 Pd
0.020 0.153 0.366 Pd
0.980 0.847 0.634 Pd
0.153 0.366 0.020 Pd
0.532 0.433 0.802 Pd
0.468 0.567 0.198 Pd
0.366 0.020 0.153 Pd
0.198 0.468 0.567 Pd
0.847 0.634 0.980 Pd
0.802 0.532 0.433 Pd
0.433 0.802 0.532 Pd
0.270 0.112 0.729 Fe
0.112 0.729 0.270 Fe
0.271 0.730 0.888 Fe
0.888 0.271 0.730 Fe
0.730 0.888 0.271 Fe
0.729 0.270 0.112 Fe
0.000 0.000 0.000 Mn
```

Crystal system: trigonal
Space group: R-3, No. 148

Entry 4:
A relaxed structure of MnFe2Pd5, computed with PBE.

Cell and atoms, written as POSCAR:
```
MnFe2Pd5
1.0
3.983 0.000 0.000
0.000 5.446 0.000
0.000 0.000 10.843
Pd Fe Mn
10 4 2
direct
0.000 0.500 0.500 Pd
0.500 0.783 0.384 Pd
0.000 0.956 0.744 Pd
0.000 0.456 0.756 Pd
0.000 0.000 0.000 Pd
0.500 0.717 0.884 Pd
0.500 0.283 0.116 Pd
0.000 0.044 0.256 Pd
0.500 0.217 0.616 Pd
0.000 0.544 0.244 Pd
0.500 0.789 0.134 Fe
0.500 0.289 0.366 Fe
0.500 0.711 0.634 Fe
0.500 0.211 0.866 Fe
0.000 0.000 0.500 Mn
0.000 0.500 0.000 Mn
```

Crystal system: orthorhombic
Space group: Pbam, No. 55

no.,final energy (eV/cell),DFT formation energy (meV per atom),density of states at the Fermi level (states/eV/f.u.)
1,-79.16,176,7.15
2,-30.17,457,11.52
3,-122.34,-4,13.94
4,-105.60,-92,8.27